NdSi3RuRh PBE-GGA optimized geometry; formation energy without anion corrections = -539 meV per atom; space group = Cmcm, No. 63; calculated total energy = -6.816 eV per atom; DOS(E_F) = 5.8 states/eV/cell; theoretical density = 6.2 g cm⁻³; V = 19.20 A^3/atom
1.0
3.140 -6.248 0.000
3.140 6.248 0.000
0.000 0.000 5.871
Nd Si Ru Rh
2 6 2 2
Direct
0.223 0.777 0.750 Nd
0.777 0.223 0.250 Nd
0.211 0.789 0.250 Si
0.297 0.297 0.000 Si
0.297 0.297 0.500 Si
0.703 0.703 0.000 Si
0.703 0.703 0.500 Si
0.789 0.211 0.750 Si
0.034 0.966 0.250 Ru
0.966 0.034 0.750 Ru
0.389 0.611 0.250 Rh
0.611 0.389 0.750 Rh